# 1
La3RuICl: relaxed, PBE-GGA.

a = 4.221 Å, b = 9.782 Å, c = 10.039 Å
α = 94.40°, β = 90.00°, γ = 90.00°
Last column: magnetic moment on the atom in μB.
Fractional positions:
La  0.750  0.817  0.146  -0.01
La  0.250  0.183  0.854  -0.01
La  0.250  0.654  0.420  0.22
La  0.750  0.346  0.580  0.22
La  0.750  0.418  0.145  0.02
La  0.250  0.582  0.855  0.02
Ru  0.250  0.622  0.154  0.01
Ru  0.750  0.378  0.846  0.01
I  0.250  0.114  0.175  0.00
I  0.750  0.886  0.825  0.00
Cl  0.250  0.139  0.567  0.01
Cl  0.750  0.861  0.433  0.01

Total magnetization, μB per formula unit: 0.705
Space-group type: P2_1/m (11)
Crystal system: monoclinic



# 2
LaS2ICl: relaxed, PBE-GGA.

a = 5.371 Å, b = 5.371 Å, c = 5.186 Å
α = 90.00°, β = 90.00°, γ = 90.00°
Last column: magnetic moment on the atom in μB.
Fractional positions:
I  0.000  0.000  0.000  0.00
S  0.000  0.500  0.000  -0.01
S  0.500  0.000  0.000  -0.01
Cl  0.000  0.000  0.500  0.00
La  0.500  0.500  0.500  0.32

Total magnetization, μB per formula unit: 0.320
Space-group type: P4/mmm (123)
Crystal system: tetragonal
Excess energy over the best structure of this formula in the dataset, meV per atom: 489



# 3
LaS2ICl: relaxed, PBE-GGA.

a = 5.752 Å, b = 5.752 Å, c = 5.470 Å
α = 90.00°, β = 90.00°, γ = 90.00°
Last column: magnetic moment on the atom in μB.
Fractional positions:
I  0.500  0.500  0.500  0.69
S  0.000  0.500  0.000  0.60
S  0.500  0.000  0.000  0.60
Cl  0.000  0.000  0.500  0.02
La  0.000  0.000  0.000  -0.01

Total magnetization, μB per formula unit: 3.062
Space-group type: P4/mmm (123)
Crystal system: tetragonal
Excess energy over the best structure of this formula in the dataset, meV per atom: 0



# 4
La8S3I4Cl: relaxed, PBE-GGA.

a = 8.286 Å, b = 9.297 Å, c = 8.301 Å
α = 116.61°, β = 119.94°, γ = 90.00°
Fractional positions:
La  0.237  0.701  0.964
La  0.237  0.702  0.475
La  0.267  0.302  0.534
La  0.727  0.701  0.964
La  0.273  0.299  0.036
La  0.733  0.698  0.466
La  0.763  0.298  0.525
La  0.763  0.299  0.036
S  0.500  0.500  0.000
S  0.500  0.500  0.500
S  0.000  0.500  0.500
I  0.500  0.000  0.000
I  0.500  0.000  0.500
I  0.000  0.000  0.000
I  0.000  0.000  0.500
Cl  0.000  0.500  0.000

Total magnetization, μB per formula unit: 0.000
Space-group type: C2/m (12)
Crystal system: monoclinic



# 5
LaSbI2Cl: relaxed, PBE-GGA.

a = 6.279 Å, b = 6.279 Å, c = 5.153 Å
α = 90.00°, β = 90.00°, γ = 90.00°
Fractional positions:
I  0.000  0.500  0.000
I  0.500  0.000  0.000
Sb  0.000  0.000  0.000
Cl  0.000  0.000  0.500
La  0.500  0.500  0.500

Total magnetization, μB per formula unit: 0.422
Space-group type: P4/mmm (123)
Crystal system: tetragonal
Excess energy over the best structure of this formula in the dataset, meV per atom: 267



# 6
LaSbI2Cl: relaxed, PBE-GGA.

a = 6.112 Å, b = 6.112 Å, c = 6.715 Å
α = 90.00°, β = 90.00°, γ = 90.00°
Last column: magnetic moment on the atom in μB.
Fractional positions:
I  0.000  0.500  0.000  0.02
I  0.500  0.000  0.000  0.02
Sb  0.000  0.000  0.500  0.55
Cl  0.500  0.500  0.500  -0.17
La  0.000  0.000  0.000  0.04

Total magnetization, μB per formula unit: 1.335
Space-group type: P4/mmm (123)
Crystal system: tetragonal
Excess energy over the best structure of this formula in the dataset, meV per atom: 0



# 7
La8Se3I4Cl: relaxed, PBE-GGA.

a = 8.483 Å, b = 9.342 Å, c = 8.482 Å
α = 117.01°, β = 120.00°, γ = 90.00°
Fractional positions:
La  0.234  0.708  0.975
La  0.234  0.708  0.467
La  0.263  0.289  0.526
La  0.741  0.708  0.975
La  0.259  0.292  0.025
La  0.737  0.711  0.474
La  0.766  0.292  0.533
La  0.766  0.292  0.025
Se  0.500  0.500  0.000
Se  0.500  0.500  0.500
Se  0.000  0.500  0.500
I  0.500  0.000  0.000
I  0.500  0.000  0.500
I  0.000  0.000  0.000
I  0.000  0.000  0.500
Cl  0.000  0.500  0.000

Total magnetization, μB per formula unit: 0.000
Space-group type: R-3m (166)
Crystal system: trigonal



# 8
La3SiICl: relaxed, PBE-GGA.

a = 4.322 Å, b = 9.378 Å, c = 10.190 Å
α = 92.53°, β = 90.00°, γ = 90.00°
Last column: magnetic moment on the atom in μB.
Fractional positions:
La  0.750  0.849  0.135  -0.01
La  0.250  0.151  0.865  -0.01
La  0.250  0.662  0.427  0.33
La  0.750  0.338  0.573  0.33
La  0.750  0.413  0.151  0.05
La  0.250  0.587  0.849  0.05
Si  0.250  0.635  0.142  0.00
Si  0.750  0.365  0.858  0.00
I  0.250  0.133  0.190  0.00
I  0.750  0.867  0.810  0.00
Cl  0.250  0.133  0.579  0.01
Cl  0.750  0.867  0.421  0.01

Total magnetization, μB per formula unit: 1.192
Space-group type: P2_1/m (11)
Crystal system: monoclinic



Short version: uncorrected formation energy = -6.214 -0.769 -3.214 -24.160 -0.916 -2.253 -22.896 -6.785 eV per formula unit, in the order given.
Short version: N(E_F) = 5.94 8.21 3.74 11.09 6.43 5.04 9.56 7.04 states/eV per cell, in the order given.
Short version: VASP energy = -67.3 -17.3 -19.8 -84.0 -14.9 -16.3 -80.8 -60.8 eV for the cell shown, in the order given.